Record 1
Compound: Cd2GaPd
Source: the Alexandria database
Functional: GGA-PBE
Structure: relaxed

Values from the calculation:
**Formation energy from the elements**: -0.1176 eV/atom
**Spin magnetization**: 0.000 μB/cell
**DOS at the Fermi energy**: 1.439 states/eV/cell
**Space group**: Cm (8)

```
data_Cd2GaPd
_chemical_formula_sum 'Cd2 Ga1 Pd1'
_space_group_name_H-M_alt 'P 1'
_space_group_IT_number 1
_space_group_name_Hall 'P 1'
_cell_length_a 3.157
_cell_length_b 3.157
_cell_length_c 9.165
_cell_angle_alpha 89.19
_cell_angle_beta 89.19
_cell_angle_gamma 57.48
loop_
_atom_site_label
_atom_site_fract_x
_atom_site_fract_y
_atom_site_fract_z
_atom_site_occupancy
Cd1 0.953 0.953 0.764 1
Cd2 0.297 0.297 0.236 1
Ga1 0.626 0.626 0.500 1
Pd1 0.625 0.625 0.000 1
```

Record 2
Compound: CdGaPd4
Source: the Alexandria database
Functional: GGA-PBE
Structure: relaxed

Values from the calculation:
**Formation energy from the elements**: -0.3752 eV/atom
**Spin magnetization**: 0.000 μB/cell
**DOS at the Fermi energy**: 4.011 states/eV/cell
**Space group**: Pmna (53)
**Energy above the lowest structure with this stoichiometry**: 0.32 eV per formula unit

```
data_CdGaPd4
_chemical_formula_sum 'Cd2 Ga2 Pd8'
_space_group_name_H-M_alt 'P 1'
_space_group_IT_number 1
_space_group_name_Hall 'P 1'
_cell_length_a 4.602
_cell_length_b 5.004
_cell_length_c 8.590
_cell_angle_alpha 90.00
_cell_angle_beta 90.00
_cell_angle_gamma 90.00
loop_
_atom_site_label
_atom_site_fract_x
_atom_site_fract_y
_atom_site_fract_z
_atom_site_occupancy
Cd1 0.000 0.000 0.000 1
Cd2 0.500 0.500 0.000 1
Ga1 0.500 0.000 0.500 1
Ga2 0.000 0.500 0.500 1
Pd1 0.000 0.569 0.189 1
Pd2 0.500 0.069 0.811 1
Pd3 0.500 0.426 0.344 1
Pd4 0.000 0.926 0.656 1
Pd5 0.000 0.431 0.811 1
Pd6 0.500 0.931 0.189 1
Pd7 0.500 0.574 0.656 1
Pd8 0.000 0.074 0.344 1
```

Record 3
Compound: CdGaPd3
Source: the Alexandria database
Functional: GGA-PBE
Structure: relaxed

Values from the calculation:
**Formation energy from the elements**: 0.0254 eV/atom
**Spin magnetization**: 0.000 μB/cell
**DOS at the Fermi energy**: 3.348 states/eV/cell
**Space group**: Pm-3m (221)
**Energy above the lowest structure with this stoichiometry**: 2.23 eV per formula unit

```
data_CdGaPd3
_chemical_formula_sum 'Cd1 Ga1 Pd3'
_space_group_name_H-M_alt 'P 1'
_space_group_IT_number 1
_space_group_name_Hall 'P 1'
_cell_length_a 4.632
_cell_length_b 4.632
_cell_length_c 4.632
_cell_angle_alpha 90.00
_cell_angle_beta 90.00
_cell_angle_gamma 90.00
loop_
_atom_site_label
_atom_site_fract_x
_atom_site_fract_y
_atom_site_fract_z
_atom_site_occupancy
Ga1 0.000 0.000 0.000 1
Pd1 0.000 0.500 0.000 1
Pd2 0.000 0.000 0.500 1
Pd3 0.500 0.000 0.000 1
Cd1 0.500 0.500 0.500 1
```

Record 4
Compound: Cd2GaPd
Source: the Alexandria database
Functional: GGA-PBE
Structure: relaxed

Values from the calculation:
**Formation energy from the elements**: -0.0095 eV/atom
**Spin magnetization**: 0.000 μB/cell
**DOS at the Fermi energy**: 3.478 states/eV/cell
**Space group**: I-42d (122)

```
data_Cd2GaPd
_chemical_formula_sum 'Cd4 Ga2 Pd2'
_space_group_name_H-M_alt 'P 1'
_space_group_IT_number 1
_space_group_name_Hall 'P 1'
_cell_length_a 7.915
_cell_length_b 7.915
_cell_length_c 6.209
_cell_angle_alpha 50.40
_cell_angle_beta 50.40
_cell_angle_gamma 90.00
loop_
_atom_site_label
_atom_site_fract_x
_atom_site_fract_y
_atom_site_fract_z
_atom_site_occupancy
Ga1 0.500 0.500 0.000 1
Ga2 0.250 0.750 0.500 1
Pd1 0.000 0.000 0.000 1
Pd2 0.750 0.250 0.500 1
Cd1 0.649 0.125 0.250 1
Cd2 0.101 0.625 0.250 1
Cd3 0.375 0.351 0.750 1
Cd4 0.875 0.899 0.750 1
```

Record 5
Compound: Cd2GaPd
Source: the Alexandria database
Functional: GGA-PBE
Structure: relaxed

Values from the calculation:
**Formation energy from the elements**: 0.0842 eV/atom
**Spin magnetization**: 0.000 μB/cell
**DOS at the Fermi energy**: 2.349 states/eV/cell
**Space group**: R-3m (166)

```
data_Cd2GaPd
_chemical_formula_sum 'Cd2 Ga1 Pd1'
_space_group_name_H-M_alt 'P 1'
_space_group_IT_number 1
_space_group_name_Hall 'P 1'
_cell_length_a 2.889
_cell_length_b 2.889
_cell_length_c 11.434
_cell_angle_alpha 82.74
_cell_angle_beta 82.74
_cell_angle_gamma 60.00
loop_
_atom_site_label
_atom_site_fract_x
_atom_site_fract_y
_atom_site_fract_z
_atom_site_occupancy
Ga1 0.500 0.500 0.500 1
Pd1 0.000 0.000 0.000 1
Cd1 0.081 0.081 0.758 1
Cd2 0.919 0.919 0.242 1
```

Record 6
Compound: CdGaPd2
Source: the Alexandria database
Functional: GGA-PBE
Structure: relaxed

Values from the calculation:
**Formation energy from the elements**: -0.5347 eV/atom
**Spin magnetization**: 0.000 μB/cell
**DOS at the Fermi energy**: 1.752 states/eV/cell
**Space group**: P4/mmm (123)

```
data_CdGaPd2
_chemical_formula_sum 'Cd1 Ga1 Pd2'
_space_group_name_H-M_alt 'P 1'
_space_group_IT_number 1
_space_group_name_Hall 'P 1'
_cell_length_a 3.039
_cell_length_b 3.039
_cell_length_c 7.022
_cell_angle_alpha 90.00
_cell_angle_beta 90.00
_cell_angle_gamma 90.00
loop_
_atom_site_label
_atom_site_fract_x
_atom_site_fract_y
_atom_site_fract_z
_atom_site_occupancy
Ga1 0.500 0.500 0.000 1
Pd1 0.000 0.000 0.785 1
Pd2 0.000 0.000 0.215 1
Cd1 0.500 0.500 0.500 1
```

Record 7
Compound: CdGa2Pd
Source: the Alexandria database
Functional: GGA-PBE
Structure: relaxed

Values from the calculation:
**Formation energy from the elements**: -0.2115 eV/atom
**Spin magnetization**: 0.000 μB/cell
**DOS at the Fermi energy**: 1.731 states/eV/cell
**Space group**: R-3m (166)

```
data_CdGa2Pd
_chemical_formula_sum 'Cd1 Ga2 Pd1'
_space_group_name_H-M_alt 'P 1'
_space_group_IT_number 1
_space_group_name_Hall 'P 1'
_cell_length_a 3.048
_cell_length_b 3.048
_cell_length_c 9.570
_cell_angle_alpha 80.84
_cell_angle_beta 80.84
_cell_angle_gamma 60.00
loop_
_atom_site_label
_atom_site_fract_x
_atom_site_fract_y
_atom_site_fract_z
_atom_site_occupancy
Ga1 0.097 0.097 0.708 1
Ga2 0.903 0.903 0.292 1
Pd1 0.500 0.500 0.500 1
Cd1 0.000 0.000 0.000 1
```

Record 8
Compound: CdGa2Pd7
Source: the Alexandria database
Functional: GGA-PBE
Structure: relaxed

Values from the calculation:
**Formation energy from the elements**: -0.0676 eV/atom
**Spin magnetization**: 0.000 μB/cell
**DOS at the Fermi energy**: 4.450 states/eV/cell
**Space group**: Cmmm (65)
**Energy above the lowest structure with this stoichiometry**: 3.48 eV per formula unit

```
data_CdGa2Pd7
_chemical_formula_sum 'Cd1 Ga2 Pd7'
_space_group_name_H-M_alt 'P 1'
_space_group_IT_number 1
_space_group_name_Hall 'P 1'
_cell_length_a 4.386
_cell_length_b 7.146
_cell_length_c 7.146
_cell_angle_alpha 118.51
_cell_angle_beta 90.00
_cell_angle_gamma 90.00
loop_
_atom_site_label
_atom_site_fract_x
_atom_site_fract_y
_atom_site_fract_z
_atom_site_occupancy
Cd1 0.000 0.000 0.000 1
Ga1 0.500 0.699 0.301 1
Ga2 0.500 0.301 0.699 1
Pd1 0.000 0.781 0.219 1
Pd2 0.000 0.219 0.781 1
Pd3 0.500 0.069 0.306 1
Pd4 0.500 0.931 0.694 1
Pd5 0.500 0.306 0.069 1
Pd6 0.500 0.694 0.931 1
Pd7 0.500 0.500 0.500 1
```

Record 9
Compound: CdGa2Pd7
Source: the Alexandria database
Functional: GGA-PBE
Structure: relaxed

Values from the calculation:
**Formation energy from the elements**: -0.4152 eV/atom
**Spin magnetization**: 0.000 μB/cell
**DOS at the Fermi energy**: 6.417 states/eV/cell
**Space group**: I4/mmm (139)
**Energy above the lowest structure with this stoichiometry**: 0.00 eV per formula unit

```
data_CdGa2Pd7
_chemical_formula_sum 'Cd1 Ga2 Pd7'
_space_group_name_H-M_alt 'P 1'
_space_group_IT_number 1
_space_group_name_Hall 'P 1'
_cell_length_a 4.125
_cell_length_b 4.125
_cell_length_c 10.220
_cell_angle_alpha 101.64
_cell_angle_beta 101.64
_cell_angle_gamma 90.00
loop_
_atom_site_label
_atom_site_fract_x
_atom_site_fract_y
_atom_site_fract_z
_atom_site_occupancy
Cd1 0.000 0.000 0.000 1
Ga1 0.675 0.675 0.350 1
Ga2 0.325 0.325 0.650 1
Pd1 0.101 0.601 0.202 1
Pd2 0.399 0.899 0.798 1
Pd3 0.601 0.101 0.202 1
Pd4 0.500 0.500 0.000 1
Pd5 0.750 0.250 0.500 1
Pd6 0.899 0.399 0.798 1
Pd7 0.250 0.750 0.500 1
```

Record 10
Compound: CdGaPd5
Source: the Alexandria database
Functional: GGA-PBE
Structure: relaxed

Values from the calculation:
**Formation energy from the elements**: -0.3490 eV/atom
**Spin magnetization**: 0.000 μB/cell
**DOS at the Fermi energy**: 5.342 states/eV/cell
**Space group**: P4/mmm (123)
**Energy above the lowest structure with this stoichiometry**: 0.00 eV per formula unit

```
data_CdGaPd5
_chemical_formula_sum 'Cd1 Ga1 Pd5'
_space_group_name_H-M_alt 'P 1'
_space_group_IT_number 1
_space_group_name_Hall 'P 1'
_cell_length_a 4.111
_cell_length_b 4.111
_cell_length_c 6.897
_cell_angle_alpha 90.00
_cell_angle_beta 90.00
_cell_angle_gamma 90.00
loop_
_atom_site_label
_atom_site_fract_x
_atom_site_fract_y
_atom_site_fract_z
_atom_site_occupancy
Cd1 0.000 0.000 0.500 1
Ga1 0.500 0.500 0.000 1
Pd1 0.000 0.500 0.787 1
Pd2 0.000 0.500 0.213 1
Pd3 0.500 0.000 0.787 1
Pd4 0.500 0.000 0.213 1
Pd5 0.500 0.500 0.500 1
```

Record 11
Compound: CdGaPd2
Source: the Alexandria database
Functional: GGA-PBE
Structure: relaxed

Values from the calculation:
**Formation energy from the elements**: -0.4380 eV/atom
**Spin magnetization**: 0.000 μB/cell
**DOS at the Fermi energy**: 1.312 states/eV/cell
**Space group**: Cm (8)

```
data_CdGaPd2
_chemical_formula_sum 'Cd1 Ga1 Pd2'
_space_group_name_H-M_alt 'P 1'
_space_group_IT_number 1
_space_group_name_Hall 'P 1'
_cell_length_a 3.027
_cell_length_b 3.027
_cell_length_c 8.536
_cell_angle_alpha 80.08
_cell_angle_beta 80.08
_cell_angle_gamma 60.87
loop_
_atom_site_label
_atom_site_fract_x
_atom_site_fract_y
_atom_site_fract_z
_atom_site_occupancy
Cd1 0.503 0.503 0.500 1
Ga1 0.666 0.666 0.000 1
Pd1 0.078 0.078 0.773 1
Pd2 0.254 0.254 0.227 1
```

Record 12
Compound: CdGaPd
Source: the Alexandria database
Functional: GGA-PBE
Structure: relaxed

Values from the calculation:
**Formation energy from the elements**: -0.3295 eV/atom
**Spin magnetization**: 0.000 μB/cell
**DOS at the Fermi energy**: 0.929 states/eV/cell
**Space group**: P3m1 (156)

```
data_CdGaPd
_chemical_formula_sum 'Cd1 Ga1 Pd1'
_space_group_name_H-M_alt 'P 1'
_space_group_IT_number 1
_space_group_name_Hall 'P 1'
_cell_length_a 3.068
_cell_length_b 4.450
_cell_length_c 4.450
_cell_angle_alpha 120.00
_cell_angle_beta 90.00
_cell_angle_gamma 90.00
loop_
_atom_site_label
_atom_site_fract_x
_atom_site_fract_y
_atom_site_fract_z
_atom_site_occupancy
Ga1 0.168 0.000 0.000 1
Pd1 0.166 0.333 0.667 1
Cd1 0.666 0.667 0.333 1
```